Record 1
# Pm4NdZn | Alexandria via LeMat-Bulk | PBE | relaxed
# volume: 31.3 Å³ per atom
# energy of formation: -9 kJ per mole of atoms
# total magnetization: 0.00 μB per atom
# crystal system: tetragonal
data_Pm4NdZn
_symmetry_space_group_name_H-M 'P 4/m m m'
_symmetry_Int_Tables_number 123
_symmetry_space_group_name_Hall '-P 4 2'
_cell_length_a 3.664
_cell_length_b 3.664
_cell_length_c 13.992
_cell_angle_alpha 90.00
_cell_angle_beta 90.00
_cell_angle_gamma 90.00
loop_
_atom_site_label
_atom_site_fract_x
_atom_site_fract_y
_atom_site_fract_z
Pm1 0.000 0.000 0.129
Pm2 0.500 0.500 0.315
Nd1 0.000 0.000 0.500
Zn1 0.500 0.500 0.000

Record 2
# Pm14NdZr | Alexandria via LeMat-Bulk | PBE | relaxed
# volume: 33.6 Å³ per atom
# energy of formation: 4 kJ per mole of atoms
# total magnetization: 0.00 μB per atom
# crystal system: tetragonal
data_Pm14NdZr
_symmetry_space_group_name_H-M 'P 4/m m m'
_symmetry_Int_Tables_number 123
_symmetry_space_group_name_Hall '-P 4 2'
_cell_length_a 7.247
_cell_length_b 7.247
_cell_length_c 10.223
_cell_angle_alpha 90.00
_cell_angle_beta 90.00
_cell_angle_gamma 90.00
loop_
_atom_site_label
_atom_site_fract_x
_atom_site_fract_y
_atom_site_fract_z
Pm1 0.000 0.000 0.000
Pm2 0.000 0.500 0.000
Pm3 0.000 0.500 0.500
Pm4 0.244 0.244 0.256
Pm5 0.500 0.500 0.000
Nd1 0.500 0.500 0.500
Zr1 0.000 0.000 0.500

Record 3
# Pm6Nd12Zr | Alexandria via LeMat-Bulk | PBE | relaxed
# volume: 34.2 Å³ per atom
# energy of formation: 4 kJ per mole of atoms
# total magnetization: 0.00 μB per atom
# crystal system: trigonal
data_Pm6Nd12Zr
_symmetry_space_group_name_H-M 'R -3'
_symmetry_Int_Tables_number 148
_symmetry_space_group_name_Hall '-R 3'
_cell_length_a 15.8835
_cell_length_b 15.8835
_cell_length_c 8.9320
_cell_angle_alpha 90.00
_cell_angle_beta 90.00
_cell_angle_gamma 120.00
loop_
_atom_site_label
_atom_site_fract_x
_atom_site_fract_y
_atom_site_fract_z
Pm1 0.0170 0.1365 0.1737
Nd1 0.0350 0.2812 0.8377
Nd2 0.0762 0.5633 0.1657
Zr1 0.0000 0.0000 0.5000

Record 4
# PmNdZr2 | Alexandria via LeMat-Bulk | PBE | relaxed
# volume: 27.7 Å³ per atom
# energy of formation: 19 kJ per mole of atoms
# total magnetization: 0.00 μB per atom
# crystal system: trigonal
data_PmNdZr2
_symmetry_space_group_name_H-M 'R -3 m'
_symmetry_Int_Tables_number 166
_symmetry_space_group_name_Hall '-R 3 2"'
_cell_length_a 3.3978
_cell_length_b 3.3978
_cell_length_c 33.2763
_cell_angle_alpha 90.00
_cell_angle_beta 90.00
_cell_angle_gamma 120.00
loop_
_atom_site_label
_atom_site_fract_x
_atom_site_fract_y
_atom_site_fract_z
Pm1 0.0000 0.0000 0.0000
Nd1 0.0000 0.0000 0.5000
Zr1 0.0000 0.0000 0.2503

Record 5
# PmNdZr2 | Alexandria via LeMat-Bulk | PBE | relaxed
# volume: 27.9 Å³ per atom
# energy of formation: 19 kJ per mole of atoms
# total magnetization: 0.00 μB per atom
# crystal system: tetragonal
data_PmNdZr2
_symmetry_space_group_name_H-M 'P 4/m m m'
_symmetry_Int_Tables_number 123
_symmetry_space_group_name_Hall '-P 4 2'
_cell_length_a 4.737
_cell_length_b 4.737
_cell_length_c 4.975
_cell_angle_alpha 90.00
_cell_angle_beta 90.00
_cell_angle_gamma 90.00
loop_
_atom_site_label
_atom_site_fract_x
_atom_site_fract_y
_atom_site_fract_z
Pm1 0.000 0.000 0.000
Nd1 0.500 0.500 0.000
Zr1 0.000 0.500 0.500

Record 6
# PrNd4 | Alexandria via LeMat-Bulk | PBE | relaxed
# volume: 35.5 Å³ per atom
# energy of formation: 1 kJ per mole of atoms
# total magnetization: 0.00 μB per atom
# crystal system: tetragonal
data_PrNd4
_symmetry_space_group_name_H-M 'I 4/m'
_symmetry_Int_Tables_number 87
_symmetry_space_group_name_Hall '-I 4'
_cell_length_a 8.251
_cell_length_b 8.251
_cell_length_c 5.221
_cell_angle_alpha 90.00
_cell_angle_beta 90.00
_cell_angle_gamma 90.00
loop_
_atom_site_label
_atom_site_fract_x
_atom_site_fract_y
_atom_site_fract_z
Pr1 0.000 0.000 0.000
Nd1 0.100 0.300 0.500

Record 7
# Pr2Nd | Alexandria via LeMat-Bulk | PBE | relaxed
# volume: 36.0 Å³ per atom
# energy of formation: 1 kJ per mole of atoms
# total magnetization: 0.00 μB per atom
# crystal system: tetragonal
data_Pr2Nd
_symmetry_space_group_name_H-M 'I 4/m m m'
_symmetry_Int_Tables_number 139
_symmetry_space_group_name_Hall '-I 4 2'
_cell_length_a 3.704
_cell_length_b 3.704
_cell_length_c 15.748
_cell_angle_alpha 90.00
_cell_angle_beta 90.00
_cell_angle_gamma 90.00
loop_
_atom_site_label
_atom_site_fract_x
_atom_site_fract_y
_atom_site_fract_z
Pr1 0.000 0.000 0.166
Nd1 0.000 0.000 0.500

Record 8
# PrNd | Alexandria via LeMat-Bulk | PBE | relaxed
# volume: 36.2 Å³ per atom
# energy of formation: 3 kJ per mole of atoms
# total magnetization: 0.00 μB per atom
# crystal system: hexagonal
data_PrNd
_symmetry_space_group_name_H-M 'P -6 m 2'
_symmetry_Int_Tables_number 187
_symmetry_space_group_name_Hall 'P -6 2'
_cell_length_a 3.7363
_cell_length_b 3.7363
_cell_length_c 5.9839
_cell_angle_alpha 90.00
_cell_angle_beta 90.00
_cell_angle_gamma 120.00
loop_
_atom_site_label
_atom_site_fract_x
_atom_site_fract_y
_atom_site_fract_z
Pr1 0.0000 0.0000 0.0000
Nd1 0.3333 0.6667 0.5000

Record 9
# PrNd | Alexandria via LeMat-Bulk | PBE | relaxed
# volume: 35.8 Å³ per atom
# energy of formation: 1 kJ per mole of atoms
# total magnetization: 0.00 μB per atom
# crystal system: trigonal
data_PrNd
_symmetry_space_group_name_H-M 'R -3 m'
_symmetry_Int_Tables_number 166
_symmetry_space_group_name_Hall '-R 3 2"'
_cell_length_a 3.6982
_cell_length_b 3.6982
_cell_length_c 36.2790
_cell_angle_alpha 90.00
_cell_angle_beta 90.00
_cell_angle_gamma 120.00
loop_
_atom_site_label
_atom_site_fract_x
_atom_site_fract_y
_atom_site_fract_z
Pr1 0.0000 0.0000 0.1247
Nd1 0.0000 0.0000 0.3746

Record 10
# Pr3Nd4 | Alexandria via LeMat-Bulk | PBE | relaxed
# volume: 35.8 Å³ per atom
# energy of formation: 1 kJ per mole of atoms
# total magnetization: 0.00 μB per atom
# crystal system: tetragonal
data_Pr3Nd4
_symmetry_space_group_name_H-M 'I 4/m m m'
_symmetry_Int_Tables_number 139
_symmetry_space_group_name_Hall '-I 4 2'
_cell_length_a 3.700
_cell_length_b 3.700
_cell_length_c 36.636
_cell_angle_alpha 90.00
_cell_angle_beta 90.00
_cell_angle_gamma 90.00
loop_
_atom_site_label
_atom_site_fract_x
_atom_site_fract_y
_atom_site_fract_z
Pr1 0.000 0.000 0.000
Pr2 0.000 0.000 0.286
Nd1 0.000 0.000 0.142
Nd2 0.000 0.000 0.428

Record 11
# PrNd | Alexandria via LeMat-Bulk | PBE | relaxed
# volume: 35.8 Å³ per atom
# energy of formation: 1 kJ per mole of atoms
# total magnetization: 0.00 μB per atom
# crystal system: monoclinic
data_PrNd
_symmetry_space_group_name_H-M 'P 1 21/m 1'
_symmetry_Int_Tables_number 11
_symmetry_space_group_name_Hall '-P 2yb'
_cell_length_a 3.694
_cell_length_b 5.249
_cell_length_c 7.377
_cell_angle_alpha 90.00
_cell_angle_beta 90.00
_cell_angle_gamma 90.00
loop_
_atom_site_label
_atom_site_fract_x
_atom_site_fract_y
_atom_site_fract_z
Pr1 0.249 0.250 0.126
Nd1 0.251 0.250 0.624

Record 12
# Pr2Nd3 | Alexandria via LeMat-Bulk | PBE | relaxed
# volume: 36.1 Å³ per atom
# energy of formation: 10 kJ per mole of atoms
# total magnetization: 0.00 μB per atom
# crystal system: tetragonal
data_Pr2Nd3
_symmetry_space_group_name_H-M 'P 42/m n m'
_symmetry_Int_Tables_number 136
_symmetry_space_group_name_Hall '-P 4n 2n'
_cell_length_a 9.520
_cell_length_b 9.520
_cell_length_c 7.965
_cell_angle_alpha 90.00
_cell_angle_beta 90.00
_cell_angle_gamma 90.00
loop_
_atom_site_label
_atom_site_fract_x
_atom_site_fract_y
_atom_site_fract_z
Pr1 0.132 0.132 0.230
Nd1 0.000 0.500 0.250
Nd2 0.152 0.848 0.500
Nd3 0.182 0.818 0.000

What did the sixth record say?
# PrNd4 | Alexandria via LeMat-Bulk | PBE | relaxed
# volume: 35.5 Å³ per atom
# energy of formation: 1 kJ per mole of atoms
# total magnetization: 0.00 μB per atom
# crystal system: tetragonal
data_PrNd4
_symmetry_space_group_name_H-M 'I 4/m'
_symmetry_Int_Tables_number 87
_symmetry_space_group_name_Hall '-I 4'
_cell_length_a 8.251
_cell_length_b 8.251
_cell_length_c 5.221
_cell_angle_alpha 90.00
_cell_angle_beta 90.00
_cell_angle_gamma 90.00
loop_
_atom_site_label
_atom_site_fract_x
_atom_site_fract_y
_atom_site_fract_z
Pr1 0.000 0.000 0.000
Nd1 0.100 0.300 0.500